A geometry-optimized ZrNbSiPb2 structure. Source: the Alexandria database, functional PBE.

Values from the calculation:
crystal system: tetragonal
magnetization: 0.381 μB/atom
formation energy (no corrections): 1.475 eV/atom

Cell lengths 5.934, 5.934, 5.538 Å; angles 90.00, 90.00, 90.00 degrees
Atoms (fractional coordinates):
Zr1 0.000 0.000 0.000
Nb1 0.000 0.000 0.500
Si1 0.500 0.500 0.500
Pb1 0.000 0.500 0.000
Pb2 0.500 0.000 0.000


A geometry-optimized SmNbPb structure. Source: the Alexandria database, functional PBE.

Values from the calculation:
crystal system: tetragonal
magnetization: 0.000 μB/atom
raw total energy: -6.24 eV/atom

Cell lengths 3.606, 3.606, 11.845 Å; angles 90.00, 90.00, 90.00 degrees
Atoms (fractional coordinates):
Sm1 0.250 0.250 0.114
Sm2 0.750 0.750 0.886
Nb1 0.250 0.250 0.444
Nb2 0.750 0.750 0.556
Pb1 0.250 0.250 0.701
Pb2 0.750 0.750 0.299


A geometry-optimized Nb3SnPb structure. Source: the Alexandria database, functional PBE.

Values from the calculation:
crystal system: cubic
relative energy among the computed polymorphs: 300 meV per atom
magnetization: 0.000 μB/atom

Cell lengths 5.138, 5.138, 5.138 Å; angles 90.00, 90.00, 90.00 degrees
Atoms (fractional coordinates):
Nb1 0.000 0.000 0.500
Nb2 0.000 0.500 0.000
Nb3 0.500 0.000 0.000
Sn1 0.500 0.500 0.500
Pb1 0.000 0.000 0.000


A geometry-optimized Nb2Sn2Pb structure. Source: the Alexandria database, functional PBE.

Values from the calculation:
crystal system: tetragonal
relative energy among the computed polymorphs: 79 meV per atom
magnetization: 0.000 μB/atom

Cell lengths 8.766, 8.766, 3.042 Å; angles 90.00, 90.00, 90.00 degrees
Atoms (fractional coordinates):
Nb1 0.112 0.388 0.000
Nb2 0.388 0.888 0.000
Nb3 0.612 0.112 0.000
Nb4 0.888 0.612 0.000
Sn1 0.176 0.676 0.500
Sn2 0.324 0.176 0.500
Sn3 0.676 0.824 0.500
Sn4 0.824 0.324 0.500
Pb1 0.000 0.000 0.500
Pb2 0.500 0.500 0.500


A geometry-optimized Nb2Sn2Pb structure. Source: the Alexandria database, functional PBE.

Values from the calculation:
crystal system: tetragonal
relative energy among the computed polymorphs: 0 meV per atom
magnetization: 0.000 μB/atom

Cell lengths 7.602, 7.602, 3.850 Å; angles 90.00, 90.00, 90.00 degrees
Atoms (fractional coordinates):
Nb1 0.144 0.356 0.000
Nb2 0.356 0.856 0.000
Nb3 0.644 0.144 0.000
Nb4 0.856 0.644 0.000
Sn1 0.150 0.650 0.500
Sn2 0.350 0.150 0.500
Sn3 0.650 0.850 0.500
Sn4 0.850 0.350 0.500
Pb1 0.000 0.000 0.000
Pb2 0.500 0.500 0.000


A geometry-optimized Nb12Sn3Pb structure. Source: the Alexandria database, functional PBE.

Values from the calculation:
crystal system: orthorhombic
magnetization: 0.000 μB/atom
raw total energy: -8.65 eV/atom

Cell lengths 5.349, 5.358, 10.631 Å; angles 90.00, 90.00, 90.00 degrees
Atoms (fractional coordinates):
Nb1 0.000 0.000 0.125
Nb2 0.000 0.000 0.373
Nb3 0.000 0.000 0.627
Nb4 0.000 0.000 0.875
Nb5 0.248 0.500 0.500
Nb6 0.253 0.500 0.000
Nb7 0.500 0.254 0.247
Nb8 0.500 0.254 0.753
Nb9 0.500 0.746 0.247
Nb10 0.500 0.746 0.753
Nb11 0.747 0.500 0.000
Nb12 0.752 0.500 0.500
Sn1 0.000 0.500 0.250
Sn2 0.000 0.500 0.750
Sn3 0.500 0.000 0.000
Pb1 0.500 0.000 0.500


A geometry-optimized NbSnPb3 structure. Source: the Alexandria database, functional PBE.

Values from the calculation:
crystal system: cubic
relative energy among the computed polymorphs: 926 meV per atom
magnetization: 0.000 μB/atom

Cell lengths 5.637, 5.637, 5.637 Å; angles 90.00, 90.00, 90.00 degrees
Atoms (fractional coordinates):
Nb1 0.000 0.000 0.000
Sn1 0.500 0.500 0.500
Pb1 0.000 0.500 0.500
Pb2 0.500 0.000 0.500
Pb3 0.500 0.500 0.000


A geometry-optimized NbSnPb2 structure. Source: the Alexandria database, functional PBE.

Values from the calculation:
crystal system: trigonal
magnetization: 0.000 μB/atom
raw total energy: -4.80 eV/atom

Cell lengths 3.235, 3.235, 35.888 Å; angles 90.00, 90.00, 120.00 degrees
Atoms (fractional coordinates):
Nb1 0.000 0.000 0.000
Nb2 0.333 0.667 0.667
Nb3 0.667 0.333 0.333
Sn1 0.000 0.000 0.500
Sn2 0.333 0.667 0.167
Sn3 0.667 0.333 0.833
Pb1 0.000 0.000 0.082
Pb2 0.000 0.000 0.918
Pb3 0.333 0.667 0.585
Pb4 0.333 0.667 0.749
Pb5 0.667 0.333 0.251
Pb6 0.667 0.333 0.415


A geometry-optimized NbSn2Pb structure. Source: the Alexandria database, functional PBE.

Values from the calculation:
crystal system: tetragonal
relative energy among the computed polymorphs: 308 meV per atom
magnetization: 0.000 μB/atom

Cell lengths 4.251, 4.251, 22.146 Å; angles 90.00, 90.00, 90.00 degrees
Atoms (fractional coordinates):
Nb1 0.000 0.000 0.000
Nb2 0.000 0.500 0.250
Nb3 0.500 0.000 0.750
Nb4 0.500 0.500 0.500
Sn1 0.241 0.250 0.125
Sn2 0.250 0.741 0.375
Sn3 0.250 0.759 0.875
Sn4 0.259 0.250 0.625
Sn5 0.741 0.750 0.625
Sn6 0.750 0.241 0.875
Sn7 0.750 0.259 0.375
Sn8 0.759 0.750 0.125
Pb1 0.000 0.000 0.500
Pb2 0.000 0.500 0.750
Pb3 0.500 0.000 0.250
Pb4 0.500 0.500 0.000


A geometry-optimized NbSn3Pb structure. Source: the Alexandria database, functional PBE.

Values from the calculation:
crystal system: cubic
relative energy among the computed polymorphs: 0 meV per atom
magnetization: 0.000 μB/atom

Cell lengths 5.417, 5.417, 5.417 Å; angles 90.00, 90.00, 90.00 degrees
Atoms (fractional coordinates):
Nb1 0.000 0.000 0.000
Sn1 0.000 0.000 0.500
Sn2 0.000 0.500 0.000
Sn3 0.500 0.000 0.000
Pb1 0.500 0.500 0.500